*P*
Entry from Alexandria via LeMat-Bulk: an optimized crystal structure of GaBiPb2 (PBE-GGA).

V, Å³/cell: 246
Spin magnetization, μB per formula unit: 0.0
SG: P-1 (2)

Lattice parameters (Å, degrees): 4.8180 9.3724 7.2619 49.36 98.98 95.92
Fractional positions:
1 Ga 0.0000 0.5000 0.5000
2 Ga 0.5000 0.0000 0.5000
3 Pb 0.5352 0.7710 0.3042
4 Pb 0.4648 0.2290 0.6958
5 Pb 0.9978 0.8673 0.8866
6 Pb 0.0022 0.1327 0.1134
7 Bi 0.7549 0.3926 0.1977
8 Bi 0.2451 0.6074 0.8023

---

*Q*
Entry from Alexandria via LeMat-Bulk: an optimized crystal structure of GaBiPb2 (PBE-GGA).

V, Å³/cell: 117
Spin magnetization, μB per formula unit: 0.0
SG: P4/mmm (123)

Lattice parameters (Å, degrees): 4.0749 4.0749 7.0744 90.00 90.00 90.00
Fractional positions:
1 Ga 0.5000 0.5000 0.0000
2 Pb 0.0000 0.0000 0.2417
3 Pb 0.0000 0.0000 0.7583
4 Bi 0.5000 0.5000 0.5000

---

*R*
Entry from Alexandria via LeMat-Bulk: an optimized crystal structure of GaBiPb2 (PBE-GGA).

V, Å³/cell: 127
Spin magnetization, μB per formula unit: 0.0
SG: R3m (160)

Lattice parameters (Å, degrees): 4.9812 4.9812 6.5790 67.75 67.75 60.00
Fractional positions:
1 Pb 0.2633 0.2633 0.2102
2 Pb 0.0660 0.0660 0.8019
3 Bi 0.4991 0.4991 0.5026
4 Ga 0.6716 0.6716 0.9853

---

In meV per atom, relative to the most stable structure: *P* 12; *Q* 0; *R* 23.

---

*P*
Entry from Alexandria via LeMat-Bulk: an optimized crystal structure of GaBiPb2 (PBE-GGA).

V, Å³/cell: 121
Spin magnetization, μB per formula unit: 0.0
SG: R-3m (166)

Lattice parameters (Å, degrees): 3.4082 3.4082 12.1886 81.96 81.96 60.00
Fractional positions:
1 Pb 0.9173 0.9173 0.2482
2 Pb 0.0827 0.0827 0.7518
3 Bi 0.5000 0.5000 0.5000
4 Ga 0.0000 0.0000 0.0000

---

*Q*
Entry from Alexandria via LeMat-Bulk: an optimized crystal structure of GaBiPb2 (PBE-GGA).

V, Å³/cell: 117
Spin magnetization, μB per formula unit: 0.0
SG: Fm-3m (225)

Lattice parameters (Å, degrees): 5.4930 5.4930 5.4930 60.00 60.00 60.00
Fractional positions:
1 Ga 0.0000 0.0000 0.0000
2 Bi 0.5000 0.5000 0.5000
3 Pb 0.7500 0.7500 0.7500
4 Pb 0.2500 0.2500 0.2500

---

*R*
Entry from Alexandria via LeMat-Bulk: an optimized crystal structure of GaBiPb2 (PBE-GGA).

V, Å³/cell: 118
Spin magnetization, μB per formula unit: 0.0
SG: P4/mmm (123)

Lattice parameters (Å, degrees): 4.6061 5.0663 5.0663 90.00 90.00 90.00
Fractional positions:
1 Bi 0.5000 0.5000 0.5000
2 Pb 0.0000 0.0000 0.5000
3 Pb 0.0000 0.5000 0.0000
4 Ga 0.5000 0.0000 0.0000

---

*S*
Entry from Alexandria via LeMat-Bulk: an optimized crystal structure of GaBiPb2 (PBE-GGA).

V, Å³/cell: 308
Spin magnetization, μB per formula unit: 0.0
SG: I-42d (122)

Lattice parameters (Å, degrees): 6.7269 6.7269 8.2953 66.08 66.08 90.00
Fractional positions:
1 Bi 0.7500 0.2500 0.5000
2 Bi 0.0000 0.0000 0.0000
3 Pb 0.1618 0.6250 0.2500
4 Pb 0.3750 0.4118 0.7500
5 Pb 0.8750 0.8382 0.7500
6 Pb 0.5882 0.1250 0.2500
7 Ga 0.2500 0.7500 0.5000
8 Ga 0.5000 0.5000 0.0000

---

In meV per atom, relative to the most stable structure: *P* 137; *Q* 31; *R* 0; *S* 123.

---

*P*
Entry from Alexandria via LeMat-Bulk: an optimized crystal structure of TlGaBiPb (PBE-GGA).

V, Å³/cell: 117
Spin magnetization, μB per formula unit: 0.0
SG: P4mm (99)

Lattice parameters (Å, degrees): 3.9143 3.9143 7.6132 90.00 90.00 90.00
Fractional positions:
1 Pb 0.1461 0.8539 0.6839
2 Ga 0.6464 0.3536 0.4610
3 Tl 0.6461 0.3539 0.9817
4 Bi 0.1463 0.8537 0.2621

---

*Q*
Entry from Alexandria via LeMat-Bulk: an optimized crystal structure of TlGaBiPb (PBE-GGA).

V, Å³/cell: 119
Spin magnetization, μB per formula unit: 0.0
SG: F-43m (216)

Lattice parameters (Å, degrees): 5.5227 5.5227 5.5227 60.00 60.00 60.00
Fractional positions:
1 Bi 0.0000 0.0000 0.0000
2 Ga 0.2500 0.2500 0.2500
3 Pb 0.7500 0.7500 0.7500
4 Tl 0.5000 0.5000 0.5000

---

In meV per atom, relative to the most stable structure: *P* 0; *Q* 29.